1.
Entry from the Alexandria database: Rh5Pb after structural relaxation (PBEsol).

Geometry as POSCAR:
```
Rh5Pb
1.0
1.942 -5.883 0.000
1.942 5.883 0.000
0.000 0.000 3.887
Rh Pb
5 1
Direct
0.000 0.000 0.000
0.173 0.827 0.500
0.325 0.675 0.000
0.675 0.325 0.000
0.827 0.173 0.500
0.500 0.500 0.500
```

Results
- Space-group type: Cmmm (65)
- Calculated volume: 88.8 Å³ per cell
- DOS at the Fermi energy: 1.3694 states/eV per atom
- Energy relative to the elements: 0.08 eV/atom



2.
Entry from the Alexandria database: RhPb after structural relaxation (PBEsol).

Geometry as POSCAR:
```
RhPb
1.0
4.975 -1.725 0.000
4.975 1.725 0.000
-0.885 0.000 4.356
Rh Pb
2 2
Direct
0.106 0.106 0.290
0.894 0.894 0.710
0.375 0.375 0.205
0.625 0.625 0.795
```

Results
- Space-group type: C2/m (12)
- Calculated volume: 74.8 Å³ per cell
- DOS at the Fermi energy: 0.4225 states/eV per atom
- Energy relative to the elements: 0.06 eV/atom



3.
Entry from the Alexandria database: Rh4Pb5 after structural relaxation (PBEsol).

Geometry as POSCAR:
```
Rh4Pb5
1.0
0.000 4.890 13.292
2.856 0.000 13.292
2.856 4.890 0.000
Rh Pb
8 10
Direct
0.082 0.082 0.418
0.084 0.084 0.916
0.250 0.250 0.250
0.418 0.418 0.082
0.582 0.582 0.918
0.750 0.750 0.750
0.916 0.916 0.084
0.918 0.918 0.582
0.001 0.667 0.333
0.164 0.836 0.164
0.286 0.286 0.714
0.333 0.999 0.001
0.412 0.412 0.588
0.588 0.588 0.412
0.667 0.001 0.999
0.714 0.714 0.286
0.836 0.164 0.836
0.999 0.333 0.667
```

Results
- Space-group type: Fmmm (69)
- Calculated volume: 371.2 Å³ per cell
- DOS at the Fermi energy: 0.4219 states/eV per atom
- Energy relative to the elements: -0.07 eV/atom



4.
Entry from the Alexandria database: Rh3Pb after structural relaxation (PBEsol).

Geometry as POSCAR:
```
Rh3Pb
1.0
-2.012 2.012 3.816
2.012 -2.012 3.816
2.012 2.012 -3.816
Rh Pb
3 1
Direct
0.000 0.000 0.000
0.250 0.750 0.500
0.750 0.250 0.500
0.500 0.500 0.000
```

Results
- Space-group type: I4/mmm (139)
- Calculated volume: 61.8 Å³ per cell
- DOS at the Fermi energy: 1.3388 states/eV per atom
- Energy relative to the elements: 0.08 eV/atom



5.
Entry from the Alexandria database: Rh3Pb after structural relaxation (PBEsol).

Geometry as POSCAR:
```
Rh3Pb
1.0
5.654 0.000 0.000
-2.827 4.897 0.000
0.000 0.000 4.486
Rh Pb
6 2
Direct
0.160 0.320 0.250
0.160 0.840 0.250
0.320 0.160 0.750
0.680 0.840 0.250
0.840 0.160 0.750
0.840 0.680 0.750
0.333 0.667 0.750
0.667 0.333 0.250
```

Results
- Space-group type: P6_3/mmc (194)
- Calculated volume: 124.2 Å³ per cell
- DOS at the Fermi energy: 0.7260 states/eV per atom
- Energy relative to the elements: 0.07 eV/atom



6.
Entry from the Alexandria database: Rh4Pb after structural relaxation (PBEsol).

Geometry as POSCAR:
```
Rh4Pb
1.0
-3.097 3.097 1.962
3.097 -3.097 1.962
3.097 3.097 -1.962
Rh Pb
4 1
Direct
0.099 0.311 0.409
0.311 0.901 0.212
0.689 0.099 0.788
0.901 0.689 0.591
0.500 0.500 0.000
```

Results
- Space-group type: I4/m (87)
- Calculated volume: 75.3 Å³ per cell
- DOS at the Fermi energy: 1.1045 states/eV per atom
- Energy relative to the elements: 0.07 eV/atom



7.
Entry from the Alexandria database: RhPb after structural relaxation (PBEsol).

Geometry as POSCAR:
```
RhPb
1.0
5.655 0.000 0.000
-2.828 4.898 0.000
0.000 0.000 4.429
Rh Pb
3 3
Direct
0.000 0.500 0.000
0.500 0.000 0.000
0.500 0.500 0.000
0.000 0.000 0.000
0.333 0.667 0.500
0.667 0.333 0.500
```

Results
- Space-group type: P6/mmm (191)
- Calculated volume: 122.7 Å³ per cell
- DOS at the Fermi energy: 0.3040 states/eV per atom
- Energy relative to the elements: -0.07 eV/atom



8.
Entry from the Alexandria database: Rh8Pb after structural relaxation (PBEsol).

Geometry as POSCAR:
```
Rh8Pb
1.0
-4.096 4.096 1.930
4.096 -4.096 1.930
4.096 4.096 -1.930
Rh Pb
8 1
Direct
0.000 0.339 0.339
0.000 0.661 0.661
0.325 0.325 0.650
0.325 0.675 0.000
0.339 0.000 0.339
0.661 0.000 0.661
0.675 0.325 0.000
0.675 0.675 0.350
0.000 0.000 0.000
```

Results
- Space-group type: I4/mmm (139)
- Calculated volume: 129.5 Å³ per cell
- DOS at the Fermi energy: 1.6746 states/eV per atom
- Energy relative to the elements: 0.09 eV/atom



9.
Entry from the Alexandria database: Rh7Pb after structural relaxation (PBEsol).

Geometry as POSCAR:
```
Rh7Pb
1.0
0.000 3.864 3.864
3.864 0.000 3.864
3.864 3.864 0.000
Rh Pb
7 1
Direct
0.000 0.000 0.000
0.000 0.000 0.500
0.000 0.500 0.000
0.000 0.500 0.500
0.500 0.000 0.000
0.500 0.000 0.500
0.500 0.500 0.000
0.500 0.500 0.500
```

Results
- Space-group type: Fm-3m (225)
- Calculated volume: 115.4 Å³ per cell
- DOS at the Fermi energy: 1.1503 states/eV per atom
- Energy relative to the elements: 0.07 eV/atom



10.
Entry from the Alexandria database: RhPb after structural relaxation (PBEsol).

Geometry as POSCAR:
```
RhPb
1.0
3.691 0.000 0.000
0.000 3.691 0.000
0.000 0.000 5.614
Rh Pb
2 2
Direct
0.250 0.250 0.166
0.750 0.750 0.834
0.250 0.250 0.682
0.750 0.750 0.318
```

Results
- Space-group type: P4/nmm (129)
- Calculated volume: 76.5 Å³ per cell
- DOS at the Fermi energy: 0.9836 states/eV per atom
- Energy relative to the elements: 0.13 eV/atom



11.
Entry from the Alexandria database: RhPb after structural relaxation (PBEsol).

Geometry as POSCAR:
```
RhPb
1.0
3.316 0.000 0.000
0.000 3.316 0.000
0.000 0.000 3.316
Rh Pb
1 1
Direct
0.000 0.000 0.000
0.500 0.500 0.500
```

Results
- Space-group type: Pm-3m (221)
- Calculated volume: 36.5 Å³ per cell
- DOS at the Fermi energy: 1.3161 states/eV per atom
- Energy relative to the elements: 0.12 eV/atom



12.
Entry from the Alexandria database: Ru2RhPb after structural relaxation (PBEsol).

Geometry as POSCAR:
```
Ru2RhPb
1.0
1.440 0.831 8.861
-1.440 0.831 8.861
0.000 -1.662 8.861
Ru Rh Pb
2 1 1
Direct
0.000 0.000 0.000
0.259 0.259 0.259
0.513 0.513 0.513
0.758 0.758 0.758
```

Results
- Space-group type: R3m (160)
- Calculated volume: 63.6 Å³ per cell
- DOS at the Fermi energy: 1.1181 states/eV per atom
- Energy relative to the elements: 0.55 eV/atom



13.
Entry from the Alexandria database: Ru2RhPb after structural relaxation (PBEsol).

Geometry as POSCAR:
```
Ru2RhPb
1.0
0.000 3.155 3.155
3.155 0.000 3.155
3.155 3.155 0.000
Ru Rh Pb
2 1 1
Direct
0.000 0.000 0.000
0.250 0.250 0.250
0.500 0.500 0.500
0.750 0.750 0.750
```

Results
- Space-group type: F-43m (216)
- Calculated volume: 62.8 Å³ per cell
- DOS at the Fermi energy: 1.3648 states/eV per atom
- Energy relative to the elements: 0.55 eV/atom



14.
Entry from the Alexandria database: TaRu2RhPb after structural relaxation (PBEsol).

Geometry as POSCAR:
```
TaRu2RhPb
1.0
4.676 0.000 0.000
0.000 4.676 0.000
0.000 0.000 4.725
Ta Ru Rh Pb
1 2 1 1
Direct
0.000 0.000 0.000
0.000 0.500 0.000
0.500 0.000 0.000
0.000 0.000 0.500
0.500 0.500 0.500
```

Results
- Space-group type: P4/mmm (123)
- Calculated volume: 103.3 Å³ per cell
- DOS at the Fermi energy: 1.3262 states/eV per atom
- Energy relative to the elements: 1.22 eV/atom



15.
Entry from the Alexandria database: Rh3Pb2S2 after structural relaxation (PBEsol).

Geometry as POSCAR:
```
Rh3Pb2S2
1.0
2.844 1.642 4.583
-2.844 1.642 4.583
0.000 -3.284 4.583
Rh Pb S
3 2 2
Direct
0.000 0.500 0.500
0.500 0.000 0.500
0.500 0.500 0.000
0.000 0.000 0.000
0.500 0.500 0.500
0.216 0.216 0.216
0.784 0.784 0.784
```

Results
- Space-group type: R-3m (166)
- Calculated volume: 128.4 Å³ per cell
- DOS at the Fermi energy: 0.4842 states/eV per atom
- Energy relative to the elements, uncorrected: -0.40 eV per atom



16.
Entry from the Alexandria database: Sb2Rh2Pb after structural relaxation (PBEsol).

Geometry as POSCAR:
```
Sb2Rh2Pb
1.0
-2.329 2.329 5.022
2.329 -2.329 5.022
2.329 2.329 -5.022
Sb Rh Pb
2 2 1
Direct
0.250 0.750 0.500
0.750 0.250 0.500
0.130 0.130 0.000
0.870 0.870 0.000
0.500 0.500 0.000
```

Results
- Space-group type: I4/mmm (139)
- Calculated volume: 109.0 Å³ per cell
- DOS at the Fermi energy: 0.5432 states/eV per atom
- Energy relative to the elements, uncorrected: -0.03 eV per atom



17.
Entry from the Alexandria database: SbRhPb3 after structural relaxation (PBEsol).

Geometry as POSCAR:
```
SbRhPb3
1.0
5.599 0.000 0.000
0.000 5.599 0.000
0.000 0.000 5.599
Sb Rh Pb
1 1 3
Direct
0.000 0.000 0.000
0.500 0.500 0.500
0.000 0.000 0.500
0.000 0.500 0.000
0.500 0.000 0.000
```

Results
- Space-group type: Pm-3m (221)
- Calculated volume: 175.5 Å³ per cell
- DOS at the Fermi energy: 1.3356 states/eV per atom
- Energy relative to the elements, uncorrected: 1.37 eV per atom



18.
Entry from the Alexandria database: SbRhPb2 after structural relaxation (PBEsol).

Geometry as POSCAR:
```
SbRhPb2
1.0
3.439 0.000 0.000
0.000 2.277 6.208
0.000 -2.277 6.208
Sb Rh Pb
1 1 2
Direct
0.000 0.000 0.000
0.500 0.159 0.159
0.000 0.706 0.706
0.500 0.383 0.383
```

Results
- Space-group type: Amm2 (38)
- Calculated volume: 97.2 Å³ per cell
- DOS at the Fermi energy: 0.6082 states/eV per atom
- Energy relative to the elements, uncorrected: -0.01 eV per atom



19.
Entry from the Alexandria database: Sb2RhPbSe after structural relaxation (PBEsol).

Geometry as POSCAR:
```
Sb2RhPbSe
1.0
5.591 0.000 0.000
0.000 5.591 0.000
0.000 0.000 4.956
Sb Rh Pb Se
2 1 1 1
Direct
0.000 0.500 0.000
0.500 0.000 0.000
0.000 0.000 0.500
0.000 0.000 0.000
0.500 0.500 0.500
```

Results
- Space-group type: P4/mmm (123)
- Calculated volume: 154.9 Å³ per cell
- DOS at the Fermi energy: 1.0445 states/eV per atom
- Energy relative to the elements, uncorrected: 1.27 eV per atom



20.
Entry from the Alexandria database: Rh2PbSe after structural relaxation (PBEsol).

Geometry as POSCAR:
```
Rh2PbSe
1.0
3.884 0.000 0.000
0.000 3.999 0.000
0.000 0.000 5.623
Rh Pb Se
2 1 1
Direct
0.000 0.000 0.000
0.500 0.500 0.010
0.500 0.000 0.344
0.000 0.500 0.772
```

Results
- Space-group type: Pmm2 (25)
- Calculated volume: 87.3 Å³ per cell
- DOS at the Fermi energy: 0.3286 states/eV per atom
- Energy relative to the elements, uncorrected: -0.15 eV per atom



21.
Entry from the Alexandria database: SiRhPb2 after structural relaxation (PBEsol).

Geometry as POSCAR:
```
SiRhPb2
1.0
3.097 -1.771 0.000
3.097 1.771 0.000
-2.017 0.000 7.753
Si Rh Pb
1 1 2
Direct
0.000 0.000 0.000
0.500 0.500 0.500
0.245 0.245 0.735
0.755 0.755 0.265
```

Results
- Space-group type: C2/m (12)
- Calculated volume: 85.1 Å³ per cell
- DOS at the Fermi energy: 0.6785 states/eV per atom
- Energy relative to the elements, uncorrected: 0.34 eV per atom



22.
Entry from the Alexandria database: Si2RhPb after structural relaxation (PBEsol).

Geometry as POSCAR:
```
Si2RhPb
1.0
3.066 0.000 0.000
0.000 3.066 0.000
0.000 0.000 7.432
Si Rh Pb
2 1 1
Direct
0.000 0.000 0.183
0.000 0.000 0.817
0.500 0.500 0.000
0.500 0.500 0.500
```

Results
- Space-group type: P4/mmm (123)
- Calculated volume: 69.9 Å³ per cell
- DOS at the Fermi energy: 0.6274 states/eV per atom
- Energy relative to the elements, uncorrected: -0.07 eV per atom



23.
Entry from the Alexandria database: SiRhPb2 after structural relaxation (PBEsol).

Geometry as POSCAR:
```
SiRhPb2
1.0
3.266 0.000 0.000
0.000 3.266 0.000
0.000 0.000 7.644
Si Rh Pb
1 1 2
Direct
0.000 0.000 0.000
0.000 0.000 0.500
0.500 0.500 0.273
0.500 0.500 0.727
```

Results
- Space-group type: P4/mmm (123)
- Calculated volume: 81.5 Å³ per cell
- DOS at the Fermi energy: 0.5735 states/eV per atom
- Energy relative to the elements, uncorrected: 0.30 eV per atom



24.
Entry from the Alexandria database: Si2RhPb after structural relaxation (PBEsol).

Geometry as POSCAR:
```
Si2RhPb
1.0
-1.440 2.561 4.874
1.440 -2.561 4.874
1.440 2.561 -4.874
Si Rh Pb
2 1 1
Direct
0.207 0.207 0.000
0.793 0.793 0.000
0.000 0.500 0.500
0.500 0.000 0.500
```

Results
- Space-group type: Immm (71)
- Calculated volume: 71.9 Å³ per cell
- DOS at the Fermi energy: 0.5057 states/eV per atom
- Energy relative to the elements, uncorrected: 0.18 eV per atom



25.
Entry from the Alexandria database: Si2RhPb after structural relaxation (PBEsol).

Geometry as POSCAR:
```
Si2RhPb
1.0
0.000 2.680 4.949
2.666 0.000 4.949
2.666 2.680 0.000
Si Rh Pb
2 1 1
Direct
0.000 0.500 0.500
0.500 0.000 0.000
0.000 0.000 0.000
0.500 0.500 0.500
```

Results
- Space-group type: Fmmm (69)
- Calculated volume: 70.7 Å³ per cell
- DOS at the Fermi energy: 0.4138 states/eV per atom
- Energy relative to the elements, uncorrected: 0.33 eV per atom



26.
Entry from the Alexandria database: SiRhPb2W after structural relaxation (PBEsol).

Geometry as POSCAR:
```
SiRhPb2W
1.0
5.263 0.000 0.000
0.000 5.263 0.000
0.000 0.000 4.694
Si Rh Pb W
1 1 2 1
Direct
0.000 0.000 0.000
0.500 0.500 0.000
0.000 0.500 0.500
0.500 0.000 0.500
0.500 0.500 0.500
```

Results
- Space-group type: P4/mmm (123)
- Calculated volume: 130.0 Å³ per cell
- DOS at the Fermi energy: 0.7342 states/eV per atom
- Energy relative to the elements, uncorrected: 1.34 eV per atom



27.
Entry from the Alexandria database: SiRhPb2W after structural relaxation (PBEsol).

Geometry as POSCAR:
```
SiRhPb2W
1.0
5.040 0.000 0.000
0.000 5.040 0.000
0.000 0.000 4.501
Si Rh Pb W
1 1 2 1
Direct
0.000 0.000 0.000
0.500 0.500 0.500
0.000 0.500 0.000
0.500 0.000 0.000
0.000 0.000 0.500
```

Results
- Space-group type: P4/mmm (123)
- Calculated volume: 114.3 Å³ per cell
- DOS at the Fermi energy: 1.0533 states/eV per atom
- Energy relative to the elements, uncorrected: 1.55 eV per atom



28.
Entry from the Alexandria database: SrRhPb after structural relaxation (PBEsol).

Geometry as POSCAR:
```
SrRhPb
1.0
4.609 0.000 0.000
-2.304 3.991 0.000
0.000 0.000 4.286
Sr Rh Pb
1 1 1
Direct
0.000 0.000 0.000
0.333 0.667 0.500
0.667 0.333 0.500
```

Results
- Space-group type: P-6m2 (187)
- Calculated volume: 78.8 Å³ per cell
- DOS at the Fermi energy: 0.8691 states/eV per atom
- Energy relative to the elements: -0.25 eV/atom